(1)
# CaPrDy2 GGA-PBE optimized geometry
data_CaPrDy2
_chemical_formula_sum 'Ca3 Pr3 Dy6'
_cell_length_a 3.6427
_cell_length_b 3.6427
_cell_length_c 36.2129
_cell_angle_alpha 90.00
_cell_angle_beta 90.00
_cell_angle_gamma 120.00
_symmetry_space_group_name_H-M 'R 3 m'
_symmetry_Int_Tables_number 160
_symmetry_space_group_name_Hall 'R 3 -2"'
loop_
_atom_site_label
_atom_site_type_symbol
_atom_site_fract_x
_atom_site_fract_y
_atom_site_fract_z
Ca1 Ca 0.0000 0.0000 0.0000
Pr1 Pr 0.0000 0.0000 0.1657
Dy1 Dy 0.0000 0.0000 0.5795
Dy2 Dy 0.0000 0.0000 0.7528
# ρ: 6.06 g/cm3
# ΔH_f (0 K): 63.6 meV/atom
# polymorph energy (0 for the lowest one): 0.000 eV per atom


(2)
# LaTl2Te2 GGA-PBE optimized geometry
data_LaTl2Te2
_chemical_formula_sum 'La2 Tl4 Te4'
_cell_length_a 8.567
_cell_length_b 8.567
_cell_length_c 4.971
_cell_angle_alpha 90.00
_cell_angle_beta 90.00
_cell_angle_gamma 90.00
_symmetry_space_group_name_H-M 'P 4/m b m'
_symmetry_Int_Tables_number 127
_symmetry_space_group_name_Hall '-P 4 2ab'
loop_
_atom_site_label
_atom_site_type_symbol
_atom_site_fract_x
_atom_site_fract_y
_atom_site_fract_z
La1 La 0.000 0.000 0.000
Tl1 Tl 0.141 0.359 0.500
Te1 Te 0.171 0.671 0.000
# ρ: 7.31 g/cm3
# raw formation energy: -3.1 eV/f.u.


(3)
# PrVGa GGA-PBE optimized geometry
data_PrVGa
_chemical_formula_sum 'Pr3 V3 Ga3'
_cell_length_a 7.0720
_cell_length_b 7.0720
_cell_length_c 4.5608
_cell_angle_alpha 90.00
_cell_angle_beta 90.00
_cell_angle_gamma 120.00
_symmetry_space_group_name_H-M 'P -6 2 m'
_symmetry_Int_Tables_number 189
_symmetry_space_group_name_Hall 'P -6 -2'
loop_
_atom_site_label
_atom_site_type_symbol
_atom_site_fract_x
_atom_site_fract_y
_atom_site_fract_z
Pr1 Pr 0.0000 0.5739 0.0000
V1 V 0.0000 0.1955 0.5000
Ga1 Ga 0.0000 0.0000 0.0000
Ga2 Ga 0.3333 0.6667 0.5000
# ρ: 6.60 g/cm3
# ΔH_f (0 K): -105.4 meV/atom


(4)
# Al2H6Br GGA-PBE optimized geometry
data_Al2H6Br
_chemical_formula_sum 'Al8 H24 Br4'
_cell_length_a 7.053
_cell_length_b 7.053
_cell_length_c 7.053
_cell_angle_alpha 90.00
_cell_angle_beta 90.00
_cell_angle_gamma 90.00
_symmetry_space_group_name_H-M 'F m -3 m'
_symmetry_Int_Tables_number 225
_symmetry_space_group_name_Hall '-F 4 2 3'
loop_
_atom_site_label
_atom_site_type_symbol
_atom_site_fract_x
_atom_site_fract_y
_atom_site_fract_z
Al1 Al 0.250 0.250 0.250
H1 H 0.000 0.000 0.135
Br1 Br 0.000 0.000 0.500
# ρ: 2.65 g/cm3


(5)
# PrNd3Th GGA-PBE optimized geometry
data_PrNd3Th
_chemical_formula_sum 'Pr4 Nd12 Th4'
_cell_length_a 14.310
_cell_length_b 6.920
_cell_length_c 7.074
_cell_angle_alpha 90.00
_cell_angle_beta 90.00
_cell_angle_gamma 90.00
_symmetry_space_group_name_H-M 'P b c m'
_symmetry_Int_Tables_number 57
loop_
_symmetry_equiv_pos_as_xyz
'x,y,z'
'-x,-y,-z'
'-x,-y,z+1/2'
'x,y,-z+1/2'
'x,-y+1/2,-z'
'-x,y+1/2,z'
'-x,y+1/2,-z+1/2'
'x,-y+1/2,z+1/2'
loop_
_atom_site_label
_atom_site_type_symbol
_atom_site_fract_x
_atom_site_fract_y
_atom_site_fract_z
Pr1 Pr 0.195 0.006 0.250
Nd1 Nd 0.009 0.750 0.000
Nd2 Nd 0.194 0.502 0.250
Nd3 Nd 0.422 0.247 0.750
Th1 Th 0.376 0.750 0.000
# ρ: 7.64 g/cm3
# ΔH_f (0 K): 135.5 meV/atom
# polymorph energy (0 for the lowest one): 0.065 eV per atom


(6)
# PdBr4 GGA-PBE optimized geometry
data_PdBr4
_chemical_formula_sum 'Pd2 Br8'
_cell_length_a 8.150
_cell_length_b 7.183
_cell_length_c 9.188
_cell_angle_alpha 90.00
_cell_angle_beta 115.75
_cell_angle_gamma 90.00
_symmetry_space_group_name_H-M 'P 1 2/m 1'
_symmetry_Int_Tables_number 10
loop_
_symmetry_equiv_pos_as_xyz
'x,y,z'
'-x,-y,-z'
'-x,y,-z'
'x,-y,z'
loop_
_atom_site_label
_atom_site_type_symbol
_atom_site_fract_x
_atom_site_fract_y
_atom_site_fract_z
Pd1 Pd 0.000 0.250 0.000
Br1 Br 0.150 0.000 0.519
Br2 Br 0.206 0.500 0.998
Br3 Br 0.208 0.000 0.003
Br4 Br 0.371 0.500 0.521
# ρ: 2.92 g/cm3
# raw formation energy: -0.5 eV/f.u.


(7)
# Si2RuPt GGA-PBE optimized geometry
data_Si2RuPt
_chemical_formula_sum 'Si2 Ru1 Pt1'
_cell_length_a 2.803
_cell_length_b 2.803
_cell_length_c 7.386
_cell_angle_alpha 90.00
_cell_angle_beta 90.00
_cell_angle_gamma 90.00
_symmetry_space_group_name_H-M 'P 4 m m'
_symmetry_Int_Tables_number 99
loop_
_symmetry_equiv_pos_as_xyz
'x,y,z'
'-y,x,z'
'-x,-y,z'
'y,-x,z'
'-x,y,z'
'y,x,z'
'x,-y,z'
'-y,-x,z'
loop_
_atom_site_label
_atom_site_type_symbol
_atom_site_fract_x
_atom_site_fract_y
_atom_site_fract_z
Si1 Si 0.000 0.000 0.000
Si2 Si 0.500 0.500 0.292
Ru1 Ru 0.500 0.500 0.804
Pt1 Pt 0.000 0.000 0.520
# ρ: 10.08 g/cm3
# raw formation energy: -0.3 eV/f.u.


(8)
# Ti2MnZn2 GGA-PBE optimized geometry
data_Ti2MnZn2
_chemical_formula_sum 'Ti4 Mn2 Zn4'
_cell_length_a 6.566
_cell_length_b 6.566
_cell_length_c 3.461
_cell_angle_alpha 90.00
_cell_angle_beta 90.00
_cell_angle_gamma 90.00
_symmetry_space_group_name_H-M 'P 4/m b m'
_symmetry_Int_Tables_number 127
_symmetry_space_group_name_Hall '-P 4 2ab'
loop_
_atom_site_label
_atom_site_type_symbol
_atom_site_fract_x
_atom_site_fract_y
_atom_site_fract_z
Ti1 Ti 0.179 0.321 0.000
Mn1 Mn 0.000 0.000 0.500
Zn1 Zn 0.129 0.629 0.500
# ρ: 6.27 g/cm3
# ΔH_f (0 K): 132.3 meV/atom
# polymorph energy (0 for the lowest one): 0.230 eV per atom


| no. | total DFT energy (no corrections) (eV per atom) |
| --- | --- |
| 1 | -3.933 |
| 2 | -3.808 |
| 3 | -5.747 |
| 4 | -2.432 |
| 5 | -5.165 |
| 6 | -2.487 |
| 7 | -6.605 |
| 8 | -5.369 |